(1)
The following is a PBE calculation of crystalline Ce4ZnPb at its relaxed geometry, from Alexandria.

Computed properties:
Total magnetization (μB per cell): 2.2
Calculated volume (A^3/atom): 24.3
Electronic total energy (eV/atom): -4.9113
ΔE_f (meV/atom): -125
Symmetry: No. 71

```
6
Lattice="-2.543 4.671 3.063 2.543 -4.671 3.063 2.543 4.671 -3.063" Properties=species:S:1:pos:R:3 pbc="T T T"
Ce 2.543 -1.622 1.609
Ce 2.543 1.622 1.609
Ce 0.000 6.293 1.454
Ce 0.000 3.048 1.454
Zn 0.000 0.000 3.063
Pb 0.000 0.000 0.000
```



(2)
The following is a PBE calculation of crystalline La12HgPb4N3 at its relaxed geometry, from Alexandria.

Computed properties:
Total magnetization (μB per cell): 0.0
Calculated volume (A^3/atom): 30.0
Electronic total energy (eV/atom): -5.6576
Symmetry: No. 229
Uncorrected formation energy (kJ per mole of atoms): -67.12

```
20
Lattice="9.200 0.000 0.000 -3.067 8.674 0.000 -3.067 -4.337 7.512" Properties=species:S:1:pos:R:3 pbc="T T T"
La -1.533 1.084 5.634
La 4.430 -3.133 5.426
La 1.703 -1.204 2.086
La 4.600 3.253 1.878
La 4.430 6.265 0.000
La 1.703 2.408 0.000
La 4.600 0.000 3.756
La -1.533 4.337 3.756
La 1.533 -1.084 5.634
La -4.430 3.133 5.426
La 1.533 5.421 1.878
La -1.703 1.204 2.086
Hg 0.000 0.000 0.000
Pb 1.533 2.168 3.756
Pb -1.533 -2.168 3.756
Pb 4.600 0.000 0.000
Pb -1.533 4.337 0.000
N 3.067 -2.168 3.756
N 3.067 4.337 0.000
N -3.067 2.168 3.756
```



no.,DOS(E_F) (states/eV per atom)
1,2.670
2,0.709